[1]
5
Lattice="-2.6969 -0.9704 -3.7502 -1.7143 -3.7988 2.2158 -6.5608 0.9104 1.5121" Properties=species:S:1:pos:R:3 comment="LaY2Pt2 | the Alexandria database | PBE | optimized geometry" dft_energy_ev_per_atom=-6.890 ef_kj_per_mol_atoms=-87 magnetic_moment_mub_per_atom=0.000 sg="I4/mmm, No. 139" rho_kg_m3=8903 relative_energy_mev_per_atom=72 pbc="T T T"
Y -5.7317 -1.2223 -1.5026
Y -5.2404 -2.6365 1.4804
Pt -3.1878 -1.6415 -0.2531
Pt -7.7842 -2.2173 0.2309
La 0.0000 0.0000 0.0000

[2]
10
Lattice="-1.2607 5.8491 -4.3012 -1.2972 -4.4767 -5.7077 -5.6038 -0.1720 1.4085" Properties=species:S:1:pos:R:3 comment="La2Y2Pt | the Alexandria database | PBE | optimized geometry" dft_energy_ev_per_atom=-6.083 ef_kj_per_mol_atoms=-31 magnetic_moment_mub_per_atom=0.000 sg="P4/mbm, No. 127" rho_kg_m3=6885 pbc="T T T"
Y -1.5213 -1.7701 -6.2690
Y -1.9150 1.9711 -7.3784
Y -1.0365 3.1425 -3.7399
Y -0.6428 -0.5987 -2.6305
Pt 0.0000 0.0000 0.0000
Pt -1.2789 0.6862 -5.0044
La -3.8652 -2.1018 -3.7726
La -4.7235 0.0363 -6.9260
La -4.2963 3.3022 -4.8277
La -3.4381 1.1641 -1.6744

[3]
6
Lattice="0.7263 -5.2365 -3.4537 -4.8352 -3.9952 -0.7323 -2.8572 -0.5046 -5.6088" Properties=species:S:1:pos:R:3 comment="LaY4Pt | the Alexandria database | PBE | optimized geometry" dft_energy_ev_per_atom=-5.786 ef_kj_per_mol_atoms=34 magnetic_moment_mub_per_atom=0.000 sg="F-43m, No. 216" rho_kg_m3=6431 pbc="T T T"
La -5.2245 -7.3022 -7.3461
Y -2.2436 -6.2756 -5.4021
Y -4.0433 -3.8991 -6.4845
Y -5.0367 -5.6522 -4.0354
Y -2.6084 -3.6457 -3.6676
Pt 0.0000 0.0000 0.0000

[4]
10
Lattice="7.9747 0.0000 0.0000 0.0000 7.9747 0.0000 0.0000 0.0000 4.1358" Properties=species:S:1:pos:R:3 comment="La2YPt2 | the Alexandria database | PBE | optimized geometry" dft_energy_ev_per_atom=-6.674 ef_kj_per_mol_atoms=-96 magnetic_moment_mub_per_atom=0.000 sg="P4/mbm, No. 127" rho_kg_m3=9557 relative_energy_mev_per_atom=0 pbc="T T T"
Y 0.0000 0.0000 0.0000
Y 3.9873 3.9873 0.0000
Pt 2.8719 6.8592 0.0000
Pt 6.8592 5.1028 0.0000
Pt 5.1028 1.1154 0.0000
Pt 1.1154 2.8719 0.0000
La 1.3020 5.2893 2.0679
La 5.2893 6.6727 2.0679
La 6.6727 2.6854 2.0679
La 2.6854 1.3020 2.0679

[5]
5
Lattice="5.4136 0.0000 0.0000 0.0000 5.4136 0.0000 0.0000 0.0000 5.4136" Properties=species:S:1:pos:R:3 comment="LaY3Pt | the Alexandria database | PBE | optimized geometry" dft_energy_ev_per_atom=-5.086 ef_kj_per_mol_atoms=95 magnetic_moment_mub_per_atom=0.000 sg="Pm-3m, No. 221" rho_kg_m3=6287 relative_energy_mev_per_atom=1392 pbc="T T T"
Y 0.0000 2.7068 0.0000
Y 0.0000 0.0000 2.7068
Y 2.7068 0.0000 0.0000
Pt 2.7068 2.7068 2.7068
La 0.0000 0.0000 0.0000

[6]
3
Lattice="-5.7645 -0.3750 3.8477 -3.2244 -2.0367 5.8001 0.1641 2.8453 2.2143" Properties=species:S:1:pos:R:3 comment="LaYPt | the Alexandria database | PBE | optimized geometry" dft_energy_ev_per_atom=-6.567 ef_kj_per_mol_atoms=-73 magnetic_moment_mub_per_atom=0.001 sg="I4mm, No. 107" rho_kg_m3=8352 relative_energy_mev_per_atom=96 pbc="T T T"
La -8.7145 -2.2541 9.4250
Pt -2.7984 1.1438 4.6203
Y -6.3007 -0.8677 7.4646

[7]
10
Lattice="-0.0333 2.1559 -7.5830 6.9409 -3.5877 -1.0505 -1.9024 -3.3998 -0.9582" Properties=species:S:1:pos:R:3 comment="LaY2Pt2 | the Alexandria database | PBE | optimized geometry" dft_energy_ev_per_atom=-6.962 ef_kj_per_mol_atoms=-94 magnetic_moment_mub_per_atom=0.000 sg="P4/mbm, No. 127" rho_kg_m3=9415 relative_energy_mev_per_atom=0 pbc="T T T"
Y 3.6063 -3.7191 -2.3631
Y 4.8754 -3.3058 -6.3492
Y 1.3988 -1.1125 -7.2286
Y 0.1297 -1.5259 -3.2425
Pt 5.9822 -2.3145 -3.6646
Pt 4.3882 -0.4213 -7.2174
Pt 0.9254 0.8827 -4.9689
Pt 2.5193 -1.0106 -1.4161
La 0.0000 0.0000 0.0000
La 3.4538 -0.7159 -4.3168

[8]
3
Lattice="4.6813 0.0000 0.0000 -2.3407 4.0541 0.0000 0.0000 0.0000 4.4943" Properties=species:S:1:pos:R:3 comment="LaYPt | the Alexandria database | PBE | optimized geometry" dft_energy_ev_per_atom=-6.470 ef_kj_per_mol_atoms=-64 magnetic_moment_mub_per_atom=0.000 sg="P3m1, No. 156" rho_kg_m3=8233 relative_energy_mev_per_atom=192 pbc="T T T"
La 0.0000 0.0000 0.2393
Pt 0.0000 2.7028 1.7117
Y 2.3407 1.3514 2.5434

[9]
4
Lattice="3.5656 -0.0026 0.0000 0.0022 3.5656 0.0000 0.0000 0.0000 8.9515" Properties=species:S:1:pos:R:3 comment="LaY2Pt | the Alexandria database | PBE | optimized geometry" dft_energy_ev_per_atom=-6.576 ef_kj_per_mol_atoms=-58 magnetic_moment_mub_per_atom=0.000 sg="P4/mmm, No. 123" rho_kg_m3=7468 relative_energy_mev_per_atom=82 pbc="T T T"
La 1.7839 1.7815 2.2379
Pt 1.7839 1.7815 6.7136
Y 0.0000 0.0000 8.3610
Y 0.0000 0.0000 5.0663

[10]
12
Lattice="4.8355 0.0000 0.0000 0.0000 7.2518 0.0000 0.0000 0.0000 8.9765" Properties=species:S:1:pos:R:3 comment="LaY3Pt2 | the Alexandria database | PBE | optimized geometry" dft_energy_ev_per_atom=-6.975 ef_kj_per_mol_atoms=-88 magnetic_moment_mub_per_atom=0.000 sg="Pmc2_1, No. 26" rho_kg_m3=8396 pbc="T T T"
La 2.4177 3.6862 5.2141
La 2.4177 0.0603 3.7624
Y 0.0000 3.5548 8.2692
Y 0.0000 7.1807 0.7072
Y 2.4177 4.6703 1.4500
Y 2.4177 1.0443 7.5265
Y 0.0000 2.6158 2.8987
Y 0.0000 6.2417 6.0777
Pt 2.4177 5.3935 7.5789
Pt 2.4177 1.7676 1.3975
Pt 0.0000 1.8349 5.9596
Pt 0.0000 5.4608 3.0169

[11]
7
Lattice="-1.8272 -3.2469 0.7339 4.5043 -4.8141 -0.2597 2.4431 -1.7282 8.2606" Properties=species:S:1:pos:R:3 comment="La2Y3Pt2 | the Alexandria database | PBE | optimized geometry" dft_energy_ev_per_atom=-6.672 ef_kj_per_mol_atoms=-74 magnetic_moment_mub_per_atom=0.000 sg="C2/m, No. 12" rho_kg_m3=7789 pbc="T T T"
La 2.3242 -3.1830 1.5286
La 2.7959 -6.6061 7.2062
Y -0.9136 -1.6234 0.3670
Y 3.9620 -5.8458 3.6493
Y 1.1582 -3.9433 5.0855
Pt 5.6127 -6.2092 6.1514
Pt -0.4926 -3.5799 2.5834

[12]
4
Lattice="3.9050 0.0000 0.0000 0.0000 5.2537 0.0000 0.0000 0.0000 5.1848" Properties=species:S:1:pos:R:3 comment="LaY2Pt | the Alexandria database | PBE | optimized geometry" dft_energy_ev_per_atom=-6.317 ef_kj_per_mol_atoms=-33 magnetic_moment_mub_per_atom=0.000 sg="Pmmm, No. 47" rho_kg_m3=7990 relative_energy_mev_per_atom=341 pbc="T T T"
La 1.9525 0.0000 2.5924
Pt 0.0000 2.6269 2.5924
Y 0.0000 0.0000 0.0000
Y 1.9525 2.6269 0.0000

[13]
4
Lattice="5.7861 0.0863 -0.0573 -2.2261 5.3414 -0.0573 0.6545 0.9979 3.3415" Properties=species:S:1:pos:R:3 comment="LaY2Pt | the Alexandria database | PBE | optimized geometry" dft_energy_ev_per_atom=-6.175 ef_kj_per_mol_atoms=-19 magnetic_moment_mub_per_atom=0.000 sg="C2/m, No. 12" rho_kg_m3=8127 relative_energy_mev_per_atom=483 pbc="T T T"
La 3.2203 0.5421 1.6421
Pt -0.7858 3.1696 1.6421
Y 0.0000 0.0000 0.0000
Y 1.7800 2.7139 -0.0573

[14]
5
Lattice="-2.5456 4.1018 2.4886 -4.3376 -3.1716 0.7905 -1.4874 -1.0761 6.1788" Properties=species:S:1:pos:R:3 comment="La2YPt2 | the Alexandria database | PBE | optimized geometry" dft_energy_ev_per_atom=-6.151 ef_kj_per_mol_atoms=-45 magnetic_moment_mub_per_atom=0.000 sg="I4/mmm, No. 139" rho_kg_m3=8230 relative_energy_mev_per_atom=523 pbc="T T T"
Y 0.0000 0.0000 0.0000
Pt -3.7373 1.7454 5.1535
Pt -4.6333 -1.8913 4.3045
La -2.7748 -0.0607 3.1884
La -5.5958 -0.0851 6.2696

[15]
16
Lattice="-4.3325 -1.0126 -4.9194 4.8115 -4.2013 -3.3726 -3.5200 -7.8106 4.7078" Properties=species:S:1:pos:R:3 comment="LaY2Pt | the Alexandria database | PBE | optimized geometry" dft_energy_ev_per_atom=-6.658 ef_kj_per_mol_atoms=-66 magnetic_moment_mub_per_atom=0.000 sg="Pnma, No. 62" rho_kg_m3=7258 relative_energy_mev_per_atom=0 pbc="T T T"
La -1.1103 -4.8099 -3.7356
La -4.4888 -2.9366 -3.1538
La -1.9307 -8.2145 0.1514
La 1.4477 -10.0878 -0.4304
Y 2.2768 -3.5035 -2.8232
Y -2.1175 -4.4755 -0.1464
Y -4.0042 -6.6061 -2.5179
Y -2.2371 -11.4638 -1.6809
Y -5.3179 -9.5209 -0.7610
Y -0.9235 -8.5490 -3.4378
Y 0.9632 -6.4183 -1.0663
Y -0.8039 -1.5607 -1.9033
Pt 0.6614 -3.6229 -0.4417
Pt 1.4870 -6.0929 -3.9221
Pt -3.7024 -9.4015 -3.1425
Pt -4.5280 -6.9316 0.3379

[16]
4
Lattice="3.1509 -2.9023 -2.7219 3.4308 -2.9132 2.3458 -0.5438 -5.0462 0.0192" Properties=species:S:1:pos:R:3 comment="LaYPt2 | the Alexandria database | PBE | optimized geometry" dft_energy_ev_per_atom=-6.980 ef_kj_per_mol_atoms=-107 magnetic_moment_mub_per_atom=0.000 sg="Fm-3m, No. 225" rho_kg_m3=11100 relative_energy_mev_per_atom=105 pbc="T T T"
Y 0.0000 0.0000 0.0000
Pt 1.5095 -2.7154 -0.0892
Pt 4.5284 -8.1463 -0.2677
La 3.0190 -5.4309 -0.1784

[17]
14
Lattice="-3.3784 -1.2251 6.8734 0.6443 -6.7305 -3.8003 7.0523 3.0387 1.0905" Properties=species:S:1:pos:R:3 comment="La2Y2Pt3 | the Alexandria database | PBE | optimized geometry" dft_energy_ev_per_atom=-6.904 ef_kj_per_mol_atoms=-102 magnetic_moment_mub_per_atom=0.000 sg="I2_13, No. 199" rho_kg_m3=9624 pbc="T T T"
La 2.0805 -1.6374 2.5454
La 2.6658 1.1486 0.4122
La -1.1624 -1.2124 3.9446
La -2.6441 -4.4409 4.1347
Y 6.1870 2.6659 0.9567
Y 2.4022 -4.9979 0.6479
Y 4.3781 -2.4492 -0.8441
Y -0.9526 -3.8275 0.6932
Pt 0.6235 -4.0387 3.1500
Pt 0.4906 -5.7628 -1.4319
Pt 4.4899 -3.1806 2.2859
Pt 1.6652 -0.8294 5.8596
Pt 4.1420 1.0921 2.8764
Pt 1.5433 -2.0312 -0.2494

[18]
4
Lattice="4.6937 0.0000 0.0000 2.3468 4.0649 0.0000 2.3468 1.3550 6.4585" Properties=species:S:1:pos:R:3 comment="LaY2Pt | the Alexandria database | PBE | optimized geometry" dft_energy_ev_per_atom=-6.448 ef_kj_per_mol_atoms=-46 magnetic_moment_mub_per_atom=0.000 sg="R3m, No. 160" rho_kg_m3=6897 relative_energy_mev_per_atom=210 pbc="T T T"
La 4.6937 2.7099 3.2608
Y 2.3468 1.3550 5.4549
Y 2.3468 1.3550 1.0194
Pt 7.0405 4.0649 6.4112

[19]
12
Lattice="4.4489 0.0000 0.0000 0.0000 5.4173 0.0000 0.0000 0.0000 9.3453" Properties=species:S:1:pos:R:3 comment="LaYPt10 | the Alexandria database | PBE | optimized geometry" dft_energy_ev_per_atom=-6.714 ef_kj_per_mol_atoms=-70 magnetic_moment_mub_per_atom=0.000 sg="Pmmm, No. 47" rho_kg_m3=16062 pbc="T T T"
La 0.0000 0.0000 0.0000
Y 0.0000 2.7086 4.6727
Pt 0.0000 0.0000 3.1451
Pt 0.0000 2.7086 7.7445
Pt 0.0000 2.7086 1.6008
Pt 0.0000 0.0000 6.2002
Pt 2.2245 0.0000 4.6727
Pt 2.2245 2.7086 0.0000
Pt 2.2245 1.3612 2.3620
Pt 2.2245 4.0561 6.9833
Pt 2.2245 4.0561 2.3620
Pt 2.2245 1.3612 6.9833

[20]
12
Lattice="5.2253 0.0000 1.5551 2.3812 4.6512 1.5551 0.0466 0.0285 9.3997" Properties=species:S:1:pos:R:3 comment="LaY2Pt9 | the Alexandria database | PBE | optimized geometry" dft_energy_ev_per_atom=-6.991 ef_kj_per_mol_atoms=-94 magnetic_moment_mub_per_atom=0.000 sg="R-3m, No. 166" rho_kg_m3=15095 pbc="T T T"
La 0.0000 0.0000 0.0000
Y 6.5583 4.0102 6.6323
Y 1.0948 0.6694 5.8777
Pt 5.1205 3.1310 11.4636
Pt 2.5326 1.5486 1.0464
Pt 3.8265 2.3398 6.2550
Pt 3.1440 1.9225 3.7032
Pt 5.7933 1.9225 4.4917
Pt 4.3513 4.2807 4.4917
Pt 4.5091 2.7572 8.8068
Pt 3.3018 0.3989 8.0183
Pt 1.8598 2.7572 8.0183

[21]
4
Lattice="-5.6034 -3.4013 7.1999 -2.1188 -2.9854 9.0224 -4.5242 0.1275 8.6210" Properties=species:S:1:pos:R:3 comment="LaY2Pt | the Alexandria database | PBE | optimized geometry" dft_energy_ev_per_atom=-6.484 ef_kj_per_mol_atoms=-49 magnetic_moment_mub_per_atom=0.000 sg="R-3m, No. 166" rho_kg_m3=6630 relative_energy_mev_per_atom=174 pbc="T T T"
La -3.0616 -1.5648 6.2108
Pt -9.1849 -4.6944 18.6324
Y -0.3150 -0.1610 0.6389
Y -5.8083 -2.9686 11.7827

[22]
8
Lattice="-2.9224 -2.2026 -1.1714 5.5163 -3.4069 -1.0670 -0.6504 -3.7979 8.7637" Properties=species:S:1:pos:R:3 comment="LaY2Pt | the Alexandria database | PBE | optimized geometry" dft_energy_ev_per_atom=-6.624 ef_kj_per_mol_atoms=-63 magnetic_moment_mub_per_atom=0.002 sg="Cmcm, No. 63" rho_kg_m3=7352 relative_energy_mev_per_atom=34 pbc="T T T"
La 1.8611 -5.9256 0.1846
La 0.0824 -3.4818 6.3407
Y 2.5499 -5.3891 3.7675
Y -0.6064 -4.0183 2.7578
Y 2.3098 -6.7907 7.0017
Y -0.3663 -2.6167 -0.4764
Pt 0.1555 -6.2884 5.1298
Pt 1.7880 -3.1190 1.3955

[23]
4
Lattice="-4.6170 -0.0845 1.9945 -2.2722 -4.3969 0.8977 -0.6672 -1.5665 4.7330" Properties=species:S:1:pos:R:3 comment="LaYbPt2 | the Alexandria database | PBE | optimized geometry" dft_energy_ev_per_atom=-5.784 ef_kj_per_mol_atoms=-111 magnetic_moment_mub_per_atom=0.000 sg="Fm-3m, No. 225" rho_kg_m3=12957 pbc="T T T"
Yb -1.8891 -1.5120 1.9063
Pt -3.7782 -3.0239 3.8126
Pt -5.2842 -1.6509 6.7275
La -5.6673 -4.5359 5.7189

[24]
10
Lattice="7.0099 0.0000 0.0000 0.0000 7.0099 0.0000 0.0000 0.0000 4.6765" Properties=species:S:1:pos:R:3 comment="La2Zn2Pt | the Alexandria database | PBE | optimized geometry" dft_energy_ev_per_atom=-4.192 ef_kj_per_mol_atoms=-49 magnetic_moment_mub_per_atom=0.000 sg="P4/mbm, No. 127" rho_kg_m3=8725 relative_energy_mev_per_atom=147 pbc="T T T"
Zn 2.5731 6.0781 0.0000
Zn 6.0781 4.4367 0.0000
Zn 4.4367 0.9318 0.0000
Zn 0.9318 2.5731 0.0000
Pt 0.0000 0.0000 0.0000
Pt 3.5049 3.5049 0.0000
La 1.1996 4.7046 2.3383
La 4.7046 5.8102 2.3383
La 5.8102 2.3053 2.3383
La 2.3053 1.1996 2.3383

[25]
5
Lattice="5.5374 0.0000 0.0000 0.0000 5.5374 0.0000 0.0000 0.0000 5.5374" Properties=species:S:1:pos:R:3 comment="LaZn3Pt | the Alexandria database | PBE | optimized geometry" dft_energy_ev_per_atom=-1.597 ef_kj_per_mol_atoms=131 magnetic_moment_mub_per_atom=0.095 sg="Pm-3m, No. 221" rho_kg_m3=5185 relative_energy_mev_per_atom=1947 pbc="T T T"
Zn 0.0000 2.7687 0.0000
Zn 0.0000 0.0000 2.7687
Zn 2.7687 0.0000 0.0000
Pt 2.7687 2.7687 2.7687
La 0.0000 0.0000 0.0000